NpBAs2 (PBE-GGA, relaxed); spin magnetization = 3.98 μB/f.u.; E_form = 202 kJ/mol of formula units; density = 9.382 Mg/m³
1.0
-1.262 -1.070 2.589
-0.488 -3.014 0.339
7.253 -2.242 4.433
Np As B
1 2 1
direct
0.000 0.000 0.000
0.115 0.115 0.656
0.885 0.885 0.344
0.500 0.500 0.500

=====

B2AsO6 (PBE-GGA, relaxed); total DFT energy (no corrections) = -6.919 eV per atom; spin magnetization = 1.02 μB/f.u.; density = 3.318 Mg/m³
1.0
4.257 0.075 1.484
2.258 6.561 0.021
-0.036 -0.069 6.938
B As O
4 2 12
direct
0.152 0.679 0.821
0.348 0.179 0.321
0.848 0.321 0.179
0.652 0.821 0.679
0.250 0.250 0.750
0.750 0.750 0.250
0.336 0.798 0.700
0.164 0.300 0.202
0.664 0.202 0.300
0.836 0.700 0.798
0.877 0.762 0.457
0.623 0.543 0.238
0.123 0.238 0.543
0.377 0.457 0.762
0.096 0.740 0.042
0.404 0.958 0.260
0.904 0.260 0.958
0.596 0.042 0.740

=====

BAsO2 (PBE-GGA, relaxed); relative energy among the computed polymorphs = 0 meV/atom; spin magnetization = 0.00 μB/f.u.; density = 4.998 Mg/m³
1.0
4.744 0.000 0.000
0.000 4.744 0.000
2.372 2.372 3.476
As B O
2 2 4
direct
0.000 0.000 0.000
0.750 0.250 0.500
0.500 0.500 0.000
0.250 0.750 0.500
0.408 0.125 0.250
0.342 0.625 0.250
0.375 0.592 0.750
0.875 0.658 0.750

=====

BAs3O (PBE-GGA, relaxed); relative energy among the computed polymorphs = 0 meV/atom; spin magnetization = 0.00 μB/f.u.; density = 5.231 Mg/m³
1.0
-2.723 -2.755 1.881
2.734 -0.452 3.296
-1.911 3.279 2.035
As B O
3 1 1
direct
0.000 0.500 0.000
0.000 0.000 0.500
0.500 0.000 0.000
0.000 0.000 0.000
0.500 0.500 0.500

=====

| no. | D(E_F) (states/eV per cell) |
| --- | --- |
| 1 | 3.08 |
| 2 | 8.14 |
| 3 | 2.74 |
| 4 | 7.48 |